# Pr2GdCu

A geometry-optimized Pr2GdCu structure (PBE, Alexandria via LeMat-Bulk).

Output
- density of states at the Fermi level (states/eV per cell) = 5.73
- energy (eV/atom) = -6.971
- crystal system = tetragonal
- ΔE to the lowest computed polymorph (eV per atom) = 0.0000
- total moment (μB/f.u.) = 7.85

Cell lengths 3.6526, 3.6526, 8.7428 Å; angles 90.00, 90.00, 90.00 degrees
Closest atoms and distances in Å follow each position.
Space group P4/mmm (No. 123)
One atom of each set of equivalent atoms:
Pr: 0.0000 0.0000 0.2020  4 Cu 3.13
Gd: 0.5000 0.5000 0.5000  4 Gd 3.65, 8 Pr 3.67
Cu: 0.5000 0.5000 0.0000  8 Pr 3.13